Compound: AcHo2In4
Source: the Alexandria database
Functional: PBE
Structure: optimized geometry

The structure in CIF format:
```
data_AcHo2In4
_symmetry_space_group_name_H-M 'P 1'
_symmetry_Int_Tables_number 1
_cell_length_a 4.948
_cell_length_b 3.851
_cell_length_c 11.033
_cell_angle_alpha 100.05
_cell_angle_beta 102.96
_cell_angle_gamma 90.00
loop_
_symmetry_equiv_pos_as_xyz
'x,y,z'
loop_
_atom_site_label
_atom_site_fract_x
_atom_site_fract_y
_atom_site_fract_z
Ac1 0.500 0.000 0.000
Ho1 0.804 0.804 0.609
Ho2 0.196 0.196 0.391
In1 0.655 0.655 0.311
In2 0.345 0.345 0.689
In3 0.072 0.572 0.145
In4 0.928 0.428 0.855
```

Final energy, eV per formula unit: -27.10
Magnetization, μB per cell: 0.0
Density, Mg/m³: 8.37
E_form, eV per atom: -0.41